Here is a relaxed structure of Tc3Ag from Alexandria via LeMat-Bulk. Energies are from PBE-GGA.

Geometry as CIF:
```
data_Tc3Ag
_chemical_formula_sum 'Tc3 Ag1'
_cell_length_a 2.7732
_cell_length_b 3.9449
_cell_length_c 5.6102
_cell_angle_alpha 90.00
_cell_angle_beta 90.39
_cell_angle_gamma 90.00
_space_group_name_H-M_alt 'P 1'
_space_group_IT_number 1
loop_
_space_group_symop_operation_xyz
'x,y,z'
loop_
_atom_site_label
_atom_site_fract_x
_atom_site_fract_y
_atom_site_fract_z
Tc1 0.0000 0.0000 0.0000
Tc2 0.4934 0.5000 0.2221
Tc3 0.5066 0.5000 0.7779
Ag1 0.0000 0.0000 0.5000
```

## Properties
Offset from the most stable computed form (kJ/mol of atoms): 11.2
DOS(E_F) (states/eV per atom): 0.972
Calculated formation energy (eV/atom): 0.337
Energy (eV per formula unit): -32.60
SG: P2/m, No. 10